Density functional theory data (PBE) for a relaxed structure of KCeCl4O4.

Unit cell a=6.2241 b=7.1686 c=9.9313 alpha=90.00 beta=90.00 gamma=90.00
With the nearest neighbours (Å) after each atom.
Positions (direct):
K  0.1047  0.0000  0.0000  2 O 2.98
K  0.8953  0.5000  0.5000  2 O 2.98
Ce  0.4906  0.0000  0.5000  4 O 2.19-2.35
Ce  0.5094  0.5000  0.0000  4 O 2.19-2.35
Cl  0.6027  0.1655  0.1349  1 O 2.32
Cl  0.6027  0.8345  0.8651  1 O 2.32
Cl  0.3973  0.3345  0.6349  1 O 2.32
Cl  0.3973  0.6655  0.3651  1 O 2.32
Cl  0.1331  0.1208  0.3373  1 O 2.30
Cl  0.1331  0.8792  0.6627  1 O 2.30
Cl  0.8669  0.3792  0.8373  1 O 2.30
Cl  0.8669  0.6208  0.1627  1 O 2.30
O  0.1752  0.4633  0.1058  2 O 2.17-2.21, 1 Cl 2.30, 1 Ce 2.35
O  0.1752  0.5367  0.8942  2 O 2.17-2.21, 1 Cl 2.30, 1 Ce 2.35
O  0.8248  0.0367  0.6058  2 O 2.17-2.21, 1 Cl 2.30, 1 Ce 2.35
O  0.8248  0.9633  0.3942  2 O 2.17-2.21, 1 Cl 2.30, 1 Ce 2.35
O  0.6228  0.2133  0.3655  1 Ce 2.19, 1 O 2.21, 1 Cl 2.32
O  0.6228  0.7867  0.6345  1 Ce 2.19, 1 O 2.21, 1 Cl 2.32
O  0.3772  0.2867  0.8655  1 Ce 2.19, 1 O 2.21, 1 Cl 2.32
O  0.3772  0.7133  0.1345  1 Ce 2.19, 1 O 2.21, 1 Cl 2.32

Properties
SG: P2_12_12, No. 18
Electronic total energy (eV per atom): -4.08
Total magnetic moment (μB per atom): 0.70
Formation energy from raw total energies (kcal/mol of atoms): -15.03
ρ (g/cm3): 2.89